Entry 1:
Entry from the Alexandria database: a crystal of TlSb2W relaxed with PBEsol (SCAN).

Cell lengths 3.684, 5.030, 10.276 Å; angles 90.00, 90.00, 90.00 degrees
Space group Cmmm (No. 65)
Symmetry-distinct sites (fractional):
Tl1 0.000 0.000 0.000 (multiplicity 2)
Sb1 0.000 0.500 0.299 (multiplicity 4)
W1 0.000 0.000 0.500 (multiplicity 2)

Values from the calculation:
Energy relative to the elements, uncorrected: 52 kJ per mole of atoms
Distance to the lowest polymorph of the same formula: 0.0 kJ/mol of atoms
Spin magnetization: 0.000 μB per atom
Calculated total energy: -428.8 eV for the cell shown

---

Entry 2:
Entry from the Alexandria database: a crystal of TlSb2W relaxed with PBEsol (SCAN).

Cell lengths 5.005, 5.005, 3.477 Å; angles 90.00, 90.00, 90.00 degrees
Space group P4/mmm (No. 123)
Symmetry-distinct sites (fractional):
Tl1 0.000 0.000 0.000 (multiplicity 1)
Sb1 0.000 0.500 0.500 (multiplicity 2)
W1 0.500 0.500 0.000 (multiplicity 1)

Values from the calculation:
Energy relative to the elements, uncorrected: 105 kJ per mole of atoms
Distance to the lowest polymorph of the same formula: 53.0 kJ/mol of atoms
Spin magnetization: 0.242 μB per atom
Calculated total energy: -212.2 eV for the cell shown

---

Entry 3:
Entry from the Alexandria database: a crystal of TlSb2W relaxed with PBEsol (SCAN).

Cell lengths 4.859, 3.702, 10.052 Å; angles 90.00, 90.00, 90.00 degrees
Space group Amm2 (No. 38)
Symmetry-distinct sites (fractional):
Tl1 0.000 0.000 0.000 (multiplicity 2)
Sb1 0.000 0.000 0.276 (multiplicity 2)
Sb2 0.500 0.000 0.690 (multiplicity 2)
W1 0.500 0.000 0.403 (multiplicity 2)

Values from the calculation:
Energy relative to the elements, uncorrected: 70 kJ per mole of atoms
Distance to the lowest polymorph of the same formula: 17.8 kJ/mol of atoms
Spin magnetization: 0.000 μB per atom
Calculated total energy: -427.4 eV for the cell shown

---

Entry 4:
Entry from the Alexandria database: a crystal of TlSb3W relaxed with PBEsol (SCAN).

Cell lengths 5.255, 5.255, 5.255 Å; angles 90.00, 90.00, 90.00 degrees
Space group Pm-3m (No. 221)
Symmetry-distinct sites (fractional):
Tl1 0.000 0.000 0.000 (multiplicity 1)
Sb1 0.000 0.500 0.500 (multiplicity 3)
W1 0.500 0.500 0.500 (multiplicity 1)

Values from the calculation:
Energy relative to the elements, uncorrected: 55 kJ per mole of atoms
Spin magnetization: 0.000 μB per atom
Calculated total energy: -251.0 eV for the cell shown

---

Entry 5:
Entry from the Alexandria database: a crystal of YTlSb relaxed with PBEsol (SCAN).

Cell lengths 4.037, 4.037, 9.869 Å; angles 90.00, 90.00, 90.00 degrees
Space group I4mm (No. 107)
Symmetry-distinct sites (fractional):
Y1 0.000 0.000 0.000 (multiplicity 2)
Tl1 0.000 0.000 0.674 (multiplicity 2)
Sb1 0.000 0.000 0.359 (multiplicity 2)

Values from the calculation:
Energy relative to the elements, uncorrected: -47 kJ per mole of atoms
Spin magnetization: 0.000 μB per atom
Calculated total energy: -277.8 eV for the cell shown

---

Entry 6:
Entry from the Alexandria database: a crystal of YTl2Sb relaxed with PBEsol (SCAN).

Cell lengths 7.564, 7.564, 7.564 Å; angles 90.00, 90.00, 90.00 degrees
Space group F-43m (No. 216)
Symmetry-distinct sites (fractional):
Y1 0.000 0.000 0.000 (multiplicity 4)
Tl1 0.000 0.000 0.500 (multiplicity 4)
Tl2 0.250 0.250 0.750 (multiplicity 4)
Sb1 0.250 0.250 0.250 (multiplicity 4)

Values from the calculation:
Energy relative to the elements, uncorrected: -25 kJ per mole of atoms
Spin magnetization: 0.000 μB per atom
Calculated total energy: -843.5 eV for the cell shown

---

Entry 7:
Entry from the Alexandria database: a crystal of TlZn2Sb relaxed with PBEsol (SCAN).

Cell lengths 7.023, 7.023, 7.023 Å; angles 90.00, 90.00, 90.00 degrees
Space group Fm-3m (No. 225)
Symmetry-distinct sites (fractional):
Tl1 0.000 0.000 0.000 (multiplicity 4)
Zn1 0.250 0.250 0.250 (multiplicity 8)
Sb1 0.000 0.000 0.500 (multiplicity 4)

Values from the calculation:
Energy relative to the elements, uncorrected: 24 kJ per mole of atoms
Spin magnetization: 0.000 μB per atom
Calculated total energy: -542.7 eV for the cell shown

---

Entry 8:
Entry from the Alexandria database: a crystal of TlZnSb relaxed with PBEsol (SCAN).

Cell lengths 4.4296, 4.4296, 4.8029 Å; angles 90.00, 90.00, 120.00 degrees
Space group P3m1 (No. 156)
Symmetry-distinct sites (fractional):
Tl1 0.0000 0.0000 0.0000 (multiplicity 1)
Zn1 0.3333 0.6667 0.5499 (multiplicity 1)
Sb1 0.6667 0.3333 0.4774 (multiplicity 1)

Values from the calculation:
Energy relative to the elements, uncorrected: 0 kJ per mole of atoms
Spin magnetization: 0.000 μB per atom
Calculated total energy: -123.1 eV for the cell shown

---

Q: Which of these has the highest spin magnetization?
A: number 2